(1)
Compound: MgMoBr2
Source: Alexandria
Functional: PBE
Structure: relaxed

a = 4.4208 Å, b = 3.2025 Å, c = 6.0267 Å
α = 97.90°, β = 90.00°, γ = 90.00°
Fractional coordinates of all 4 atoms:
Br (0.0000, 0.6305, 0.5043)
Br (0.0000, 0.8695, 0.9957)
Mg (0.5000, 0.2500, 0.2500)
Mo (0.5000, 0.7500, 0.7500)

**Polymorph energy (0 for the lowest one)**: 480.6 meV per atom
**E_form (uncorrected)**: 0.2565 eV/atom
**DFT total energy**: -3.6864 eV per atom
**SG**: P2/m, No. 10

***

(2)
Compound: ZrMoPt
Source: Alexandria
Functional: PBE
Structure: relaxed

a = 5.4195 Å, b = 4.7995 Å, c = 8.4410 Å
α = 90.00°, β = 100.78°, γ = 90.00°
Fractional coordinates of all 12 atoms:
Pt (0.0663, 0.0000, 0.7087)
Pt (0.4913, 0.5000, 0.4708)
Pt (0.0663, 0.5000, 0.2087)
Pt (0.4913, 0.0000, 0.9708)
Zr (0.0005, 0.5000, 0.5286)
Zr (0.5572, 0.5000, 0.1518)
Zr (0.0005, 0.0000, 0.0286)
Zr (0.5572, 0.0000, 0.6518)
Mo (0.2755, 0.5000, 0.8405)
Mo (0.2755, 0.0000, 0.3405)
Mo (0.7812, 0.5000, 0.8409)
Mo (0.7812, 0.0000, 0.3409)

**Polymorph energy (0 for the lowest one)**: 82.1 meV per atom
**DFT total energy**: -8.9131 eV per atom
**SG**: Cm, No. 8

***

(3)
Compound: KAl2Cl
Source: Alexandria
Functional: PBE
Structure: relaxed

a = 4.7136 Å, b = 4.7136 Å, c = 7.9608 Å
α = 74.79°, β = 74.79°, γ = 40.53°
Fractional coordinates of all 4 atoms:
Al (0.0191, 0.0191, 0.2022)
Al (0.3259, 0.3259, 0.0872)
K (0.6895, 0.6895, 0.7226)
Cl (0.4655, 0.4655, 0.4880)

**Polymorph energy (0 for the lowest one)**: 76.1 meV per atom
**E_form (uncorrected)**: -0.3704 eV/atom
**DFT total energy**: -2.9777 eV per atom
**SG**: Cm, No. 8

***

(4)
Compound: LaSnHg
Source: Alexandria
Functional: PBE
Structure: relaxed

a = 5.0805 Å, b = 5.0805 Å, c = 5.0805 Å
α = 60.00°, β = 60.00°, γ = 60.00°
Fractional coordinates of all 3 atoms:
La (0.5000, 0.5000, 0.5000)
Hg (0.2500, 0.2500, 0.2500)
Sn (0.0000, 0.0000, 0.0000)

**DFT total energy**: -3.5680 eV per atom
**SG**: F-43m, No. 216

***

(5)
Compound: Ac4La3Y4
Source: Alexandria
Functional: PBE
Structure: relaxed

a = 3.7267 Å, b = 5.8715 Å, c = 19.3039 Å
α = 98.72°, β = 90.03°, γ = 89.99°
Fractional coordinates of all 11 atoms:
Ac (0.2280, 0.9064, 0.8144)
Ac (0.7275, 0.7221, 0.4443)
Ac (0.7268, 0.0904, 0.1805)
Ac (0.2278, 0.2771, 0.5532)
La (0.2273, 0.6346, 0.2682)
La (0.7288, 0.3646, 0.7304)
La (0.2258, 0.0016, 0.0027)
Y (0.7261, 0.4614, 0.9224)
Y (0.7277, 0.8191, 0.6383)
Y (0.2270, 0.5427, 0.0858)
Y (0.2272, 0.1800, 0.3598)

**DFT total energy**: -5.1328 eV per atom
**SG**: P1, No. 1

***

(6)
Compound: Pa2TaH
Source: Alexandria
Functional: PBE
Structure: relaxed

a = 3.0740 Å, b = 3.0740 Å, c = 9.0986 Å
α = 80.27°, β = 80.27°, γ = 60.00°
Fractional coordinates of all 4 atoms:
Pa (0.1068, 0.1068, 0.6797)
Pa (0.8932, 0.8932, 0.3203)
Ta (0.0000, 0.0000, 0.0000)
H (0.5000, 0.5000, 0.5000)

**DFT total energy**: -8.2297 eV per atom
**SG**: R-3m, No. 166

***

(7)
Compound: Pm2Nd2Er3
Source: Alexandria
Functional: PBE
Structure: relaxed

a = 3.5109 Å, b = 8.8012 Å, c = 8.6472 Å
α = 116.02°, β = 101.71°, γ = 90.00°
Fractional coordinates of all 7 atoms:
Nd (0.9200, 0.7950, 0.8400)
Nd (0.0800, 0.2050, 0.1600)
Pm (0.6391, 0.9069, 0.2781)
Pm (0.3609, 0.0931, 0.7219)
Er (0.2204, 0.6439, 0.4408)
Er (0.7796, 0.3561, 0.5592)
Er (0.0000, 0.5000, 0.0000)

**Polymorph energy (0 for the lowest one)**: 0.0 meV per atom
**DFT total energy**: -4.5426 eV per atom
**SG**: C2/m, No. 12

***

(8)
Compound: AcAlGe2O8
Source: Alexandria
Functional: PBE
Structure: relaxed

a = 5.4266 Å, b = 5.4266 Å, c = 6.9017 Å
α = 90.00°, β = 90.00°, γ = 120.00°
Site moments in Bohr magnetons follow the coordinates.
Fractional coordinates of all 12 atoms:
Al (0.0000, 0.0000, 0.5000)  -0.01
O (0.6667, 0.3333, 0.0027)  0.33
O (0.8463, 0.1521, 0.3236)  0.18
O (0.8479, 0.6942, 0.3236)  0.18
O (0.6942, 0.8463, 0.6764)  0.18
O (0.1521, 0.3058, 0.6764)  0.18
O (0.3058, 0.1537, 0.3236)  0.18
O (0.1537, 0.8479, 0.6764)  0.18
O (0.3333, 0.6667, 0.9973)  0.33
Ac (0.0000, 0.0000, 0.0000)  -0.01
Ge (0.6667, 0.3333, 0.2618)  -0.02
Ge (0.3333, 0.6667, 0.7382)  -0.02

**E_form (uncorrected)**: -1.9699 eV/atom
**DFT total energy**: -6.6992 eV per atom
**SG**: P-3m1, No. 164

***

Total moment per entry: 0.000; 0.000; 0.000; 0.000; 0.000; 0.000; 0.000; 0.168 μB per atom